Density functional theory data (PBE) for a geometry-optimized CrSbRh structure.

a = 5.8689 Å, b = 5.8689 Å, c = 5.8689 Å
α = 150.74°, β = 150.74°, γ = 41.85°
With the nearest neighbours (Å) after each atom.
Fractional positions:
Cr1 0.0000 0.0000 0.0000  4 Rh 2.58, 4 Sb 2.81
Sb1 0.3293 0.3293 0.0000  4 Cr 2.81, 4 Sb 2.96, 4 Rh 2.98
Rh1 0.6365 0.6365 0.0000  4 Cr 2.58

Its uncorrected formation energy is 208 meV/atom. The final energy is -6.82 eV per atom.

Density functional theory data (PBE) for a geometry-optimized OsPt2Cl structure.

a = 4.8903 Å, b = 4.8903 Å, c = 2.7093 Å
α = 90.00°, β = 90.00°, γ = 90.00°
With the nearest neighbours (Å) after each atom.
Fractional positions:
Os1 0.0000 0.0000 0.0000  2 Os 2.71, 8 Pt 2.80
Pt1 0.0000 0.5000 0.5000  2 Pt 2.71, 4 Cl 2.80, 4 Os 2.80
Pt2 0.5000 0.0000 0.5000  2 Pt 2.71, 4 Cl 2.80, 4 Os 2.80
Cl1 0.5000 0.5000 0.0000  2 Cl 2.71, 8 Pt 2.80

Its uncorrected formation energy is 864 meV/atom. The final energy is -5.43 eV per atom.

Density functional theory data (PBE) for a geometry-optimized Ti2PbF2 structure.

a = 7.5105 Å, b = 7.5105 Å, c = 2.9955 Å
α = 90.00°, β = 90.00°, γ = 90.00°
With the nearest neighbours (Å) after each atom.
Fractional positions:
Ti1 0.1213 0.3787 0.0000  4 F 2.27
Ti2 0.3787 0.8787 0.0000  4 F 2.27
Ti3 0.6213 0.1213 0.0000  4 F 2.27
Ti4 0.8787 0.6213 0.0000  4 F 2.27
Pb1 0.0000 0.0000 0.0000  4 Ti 2.99, 2 Pb 3.00
Pb2 0.5000 0.5000 0.0000  4 Ti 2.99, 2 Pb 3.00
F1 0.1060 0.6060 0.5000  1 F 2.25, 4 Ti 2.27
F2 0.3940 0.1060 0.5000  1 F 2.25, 4 Ti 2.27
F3 0.6060 0.8940 0.5000  1 F 2.25, 4 Ti 2.27
F4 0.8940 0.3940 0.5000  1 F 2.25, 4 Ti 2.27

Its uncorrected formation energy is -1019 meV/atom. The final energy is -5.67 eV per atom.

Density functional theory data (PBE) for a geometry-optimized Tl2OsCl structure.

a = 3.1555 Å, b = 3.1555 Å, c = 9.3508 Å
α = 90.00°, β = 90.00°, γ = 90.00°
With the nearest neighbours (Å) after each atom.
Fractional positions:
Tl1 0.0000 0.0000 0.0000  4 Os 2.99, 4 Tl 3.16
Tl2 0.5000 0.5000 0.3047  4 Tl 3.16
Os1 0.5000 0.5000 0.7878  4 Cl 2.78, 4 Tl 2.99
Cl1 0.0000 0.0000 0.6111  4 Os 2.78

Its uncorrected formation energy is 729 meV/atom. The final energy is -3.72 eV per atom.

Density functional theory data (PBE) for a geometry-optimized MgReGe2Sb structure.

a = 4.8396 Å, b = 4.8396 Å, c = 5.3202 Å
α = 90.00°, β = 90.00°, γ = 90.00°
With the nearest neighbours (Å) after each atom.
Fractional positions:
Mg1 0.0000 0.0000 0.0000  4 Ge 2.42, 2 Sb 2.66
Re1 0.5000 0.5000 0.5000  4 Sb 3.42, 8 Ge 3.60
Ge1 0.0000 0.5000 0.0000  2 Mg 2.42
Ge2 0.5000 0.0000 0.0000  2 Mg 2.42
Sb1 0.0000 0.0000 0.5000  2 Mg 2.66

Its uncorrected formation energy is 1558 meV/atom. The final energy is -3.92 eV per atom.

Density functional theory data (PBE) for a geometry-optimized Er2HgOsO8 structure.

a = 4.8545 Å, b = 4.8545 Å, c = 7.1883 Å
α = 90.00°, β = 90.00°, γ = 92.67°
With the nearest neighbours (Å) after each atom.
Fractional positions:
Er1 0.0000 0.0000 0.2458  6 O 2.20-2.34
Er2 0.0000 0.0000 0.7542  6 O 2.20-2.34
Hg1 0.5000 0.5000 0.0000  2 O 2.05
Os1 0.5000 0.5000 0.5000  6 O 1.87-1.89
O1 0.1945 0.1945 0.0000  1 Hg 2.05, 2 Er 2.20
O2 0.2175 0.2175 0.5000  1 Os 1.89
O3 0.3132 0.6868 0.3150  1 Os 1.87
O4 0.3132 0.6868 0.6850  1 Os 1.87
O5 0.6868 0.3132 0.3150  1 Os 1.87
O6 0.6868 0.3132 0.6850  1 Os 1.87
O7 0.7825 0.7825 0.5000  1 Os 1.89
O8 0.8055 0.8055 0.0000  1 Hg 2.05, 2 Er 2.20

Its uncorrected formation energy is -1904 meV/atom. The final energy is -6.93 eV per atom.

Density functional theory data (PBE) for a geometry-optimized La2HgRu structure.

a = 6.9464 Å, b = 6.9464 Å, c = 6.9464 Å
α = 150.34°, β = 139.31°, γ = 51.15°
With the nearest neighbours (Å) after each atom.
Fractional positions:
La1 0.0000 0.0000 0.0000  4 Ru 3.00, 2 Hg 3.31
La2 0.6994 0.1994 0.5000  2 Ru 2.94
Hg1 0.3192 0.8192 0.5000  2 Ru 3.00, 6 La 3.31-3.35
Ru1 0.5125 0.5125 0.0000  6 La 2.94-3.00, 2 Hg 3.00

The formation energy is -0.217 eV per atom. The final energy is -5.07 eV per atom.

Density functional theory data (PBE) for a geometry-optimized LiCe2Co3H12 structure.

a = 5.8122 Å, b = 5.8122 Å, c = 5.8122 Å
α = 60.90°, β = 60.90°, γ = 60.90°
With the nearest neighbours (Å) after each atom.
Fractional positions:
Li1 0.0000 0.0000 0.0000  6 H 1.86
Ce1 0.3860 0.3860 0.3860  9 H 2.30-2.49
Ce2 0.6140 0.6140 0.6140  9 H 2.30-2.49
Co1 0.0000 0.0000 0.5000  6 H 1.57-1.61
Co2 0.0000 0.5000 0.0000  6 H 1.57-1.61
Co3 0.5000 0.0000 0.0000  6 H 1.57-1.61
H1 0.1099 0.1099 0.6141  1 Co 1.57
H2 0.1099 0.6141 0.1099  1 Co 1.57
H3 0.1293 0.6864 0.6864  2 Co 1.61
H4 0.3136 0.3136 0.8707  2 Co 1.61
H5 0.3136 0.8707 0.3136  2 Co 1.61
H6 0.3859 0.8901 0.8901  1 Co 1.57
H7 0.6141 0.1099 0.1099  1 Co 1.57
H8 0.6864 0.1293 0.6864  2 Co 1.61
H9 0.6864 0.6864 0.1293  2 Co 1.61
H10 0.8707 0.3136 0.3136  2 Co 1.61
H11 0.8901 0.3859 0.8901  1 Co 1.57
H12 0.8901 0.8901 0.3859  1 Co 1.57

The final energy is -4.44 eV per atom.

Density functional theory data (PBE) for a geometry-optimized NpPPt structure.

a = 4.4208 Å, b = 4.4208 Å, c = 4.4208 Å
α = 60.00°, β = 60.00°, γ = 60.00°
With the nearest neighbours (Å) after each atom.
Fractional positions:
Np1 0.0000 0.0000 0.0000  4 P 2.71
P1 0.7500 0.7500 0.7500  4 Pt 2.71, 4 Np 2.71
Pt1 0.5000 0.5000 0.5000  4 P 2.71

The formation energy is -0.441 eV per atom. The final energy is -8.57 eV per atom.

Density functional theory data (PBE) for a geometry-optimized AlTePd4 structure.

a = 6.2614 Å, b = 4.0084 Å, c = 16.2959 Å
α = 90.00°, β = 90.00°, γ = 90.00°
With the nearest neighbours (Å) after each atom.
Fractional positions:
Al1 0.1875 0.2500 0.1967  5 Pd 2.41-2.54
Al2 0.3125 0.7500 0.6967  5 Pd 2.41-2.54
Al3 0.6875 0.2500 0.3033  5 Pd 2.41-2.54
Al4 0.8125 0.7500 0.8033  5 Pd 2.41-2.54
Te1 0.1957 0.7500 0.4424  7 Pd 2.67-2.90
Te2 0.3043 0.2500 0.9424  7 Pd 2.67-2.90
Te3 0.6957 0.7500 0.0576  7 Pd 2.67-2.90
Te4 0.8043 0.2500 0.5576  7 Pd 2.67-2.90
Pd1 0.0230 0.7500 0.9364  1 Al 2.54, 2 Te 2.67, 2 Pd 2.83
Pd2 0.0775 0.2500 0.3384  2 Al 2.41-2.51
Pd3 0.0976 0.2500 0.7830  4 Al 2.70-2.79, 1 Te 2.90, 6 Pd 2.94-3.02
Pd4 0.2251 0.2500 0.6076  2 Al 2.53, 1 Te 2.76, 2 Pd 2.83
Pd5 0.2749 0.7500 0.1076  2 Al 2.53, 1 Te 2.76, 2 Pd 2.83
Pd6 0.4024 0.7500 0.2830  4 Al 2.70-2.79, 1 Te 2.90, 6 Pd 2.94-3.02
Pd7 0.4225 0.7500 0.8384  2 Al 2.41-2.51
Pd8 0.4770 0.2500 0.4364  1 Al 2.54, 2 Te 2.67, 2 Pd 2.83
Pd9 0.5230 0.7500 0.5636  1 Al 2.54, 2 Te 2.67, 2 Pd 2.83
Pd10 0.5775 0.2500 0.1616  2 Al 2.41-2.51
Pd11 0.5976 0.2500 0.7170  4 Al 2.70-2.79, 1 Te 2.90, 6 Pd 2.94-3.02
Pd12 0.7251 0.2500 0.8924  2 Al 2.53, 1 Te 2.76, 2 Pd 2.83
Pd13 0.7749 0.7500 0.3924  2 Al 2.53, 1 Te 2.76, 2 Pd 2.83
Pd14 0.9024 0.7500 0.2170  4 Al 2.70-2.79, 1 Te 2.90, 6 Pd 2.94-3.02
Pd15 0.9225 0.7500 0.6616  2 Al 2.41-2.51
Pd16 0.9770 0.2500 0.0636  1 Al 2.54, 2 Te 2.67, 2 Pd 2.83

Its uncorrected formation energy is -539 meV/atom. The final energy is -5.15 eV per atom.

Density functional theory data (PBE) for a geometry-optimized Y2Mn structure.

a = 5.8773 Å, b = 5.8773 Å, c = 5.8773 Å
α = 105.14°, β = 105.14°, γ = 118.54°
With the nearest neighbours (Å) after each atom.
Fractional positions:
Y1 0.1713 0.6713 0.8426  4 Mn 3.04, 2 Y 3.40
Y2 0.3287 0.1713 0.5000  4 Mn 3.04, 2 Y 3.40
Y3 0.6713 0.8287 0.5000  4 Mn 3.04, 2 Y 3.40
Y4 0.8287 0.3287 0.1574  4 Mn 3.04, 2 Y 3.40
Mn1 0.2500 0.2500 0.0000  2 Mn 3.00, 8 Y 3.04
Mn2 0.7500 0.7500 0.0000  2 Mn 3.00, 8 Y 3.04

The formation energy is 0.152 eV per atom. The final energy is -7.21 eV per atom.

Density functional theory data (PBE) for a geometry-optimized PuPaTeAs structure.

a = 5.1818 Å, b = 5.1818 Å, c = 5.1818 Å
α = 60.00°, β = 60.00°, γ = 60.00°
With the nearest neighbours (Å) after each atom.
Fractional positions:
Pu1 0.0000 0.0000 0.0000  4 As 3.17, 4 Te 3.17
Pa1 0.5000 0.5000 0.5000  4 As 3.17, 4 Te 3.17
Te1 0.2500 0.2500 0.2500  4 Pa 3.17, 4 Pu 3.17
As1 0.7500 0.7500 0.7500  4 Pa 3.17, 4 Pu 3.17

Its uncorrected formation energy is -806 meV/atom. The final energy is -8.71 eV per atom.

Q: What is the final energy in the second record?
A: -5.43 eV per atom